# 1
The following is a DFT calculation (PBE) of an optimized crystal structure of PrNbSe3.

Computed properties:
Total magnetization   0.244 μB/atom

Cell: 3.891 12.538 9.772 Å, 90.00 90.00 90.00°
Space group Cmcm (No. 63)
One atom of each set of equivalent atoms:
Pr 0.000 0.245 0.250 x4
Nb 0.000 0.000 0.000 x4
Se 0.000 0.072 0.750 x4
Se 0.000 0.357 0.550 x8

# 2
The following is a DFT calculation (PBE) of an optimized crystal structure of Pr2Y2CI2Br3.

Computed properties:
Offset from the most stable computed form   0.006 eV per atom
Total magnetization   0.017 μB/atom

Cell: 18.757 3.984 8.565 Å, 90.00 101.42 90.00°
Space group C2/m (No. 12)
One atom of each set of equivalent atoms:
Pr 0.003 0.000 0.296 x4
Y 0.131 0.500 0.562 x4
C 0.000 0.500 0.500 x2
I 0.170 0.000 0.837 x4
Br 0.000 0.500 0.000 x2
Br 0.171 0.000 0.346 x4

# 3
The following is a DFT calculation (PBE) of an optimized crystal structure of CdSnSeO.

Computed properties:
Offset from the most stable computed form   0.062 eV per atom

Cell: 6.270 9.701 6.114 Å, 90.00 90.00 90.00°
Space group Pca2_1 (No. 29)
One atom of each set of equivalent atoms:
Cd 0.098 0.081 0.000 x4
Sn 0.007 0.676 0.100 x4
Se 0.045 0.679 0.639 x4
O 0.064 0.102 0.632 x4

# 4
The following is a DFT calculation (PBE) of an optimized crystal structure of AgTePbF.

Computed properties:
Offset from the most stable computed form   0.437 eV per atom

Cell: 3.776 20.745 5.035 Å, 90.00 90.00 90.00°
Space group Cmcm (No. 63)
One atom of each set of equivalent atoms:
Ag 0.000 0.000 0.000 x4
Te 0.000 0.241 0.250 x4
Pb 0.000 0.394 0.750 x4
F 0.000 0.402 0.250 x4

# 5
The following is a DFT calculation (PBE) of an optimized crystal structure of NdMgSc.

Computed properties:
Offset from the most stable computed form   0.000 eV per atom
Total magnetization   0.206 μB/atom

Cell: 7.224 7.224 7.224 Å, 90.00 90.00 90.00°
Space group F-43m (No. 216)
One atom of each set of equivalent atoms:
Nd 0.000 0.000 0.000 x4
Mg 0.250 0.250 0.250 x4
Sc 0.000 0.000 0.500 x4

# 6
The following is a DFT calculation (PBE) of an optimized crystal structure of ZrAgAsO.

Computed properties:
Offset from the most stable computed form   0.000 eV per atom
Total magnetization   0.000 μB/atom

Cell: 3.742 3.742 9.179 Å, 90.00 90.00 90.00°
Space group P4/nmm (No. 129, origin choice 2)
One atom of each set of equivalent atoms:
Zr 0.250 0.250 0.133 x2
Ag 0.250 0.750 0.500 x2
As 0.250 0.250 0.725 x2
O 0.250 0.750 0.000 x2

Final energy / eV for the cell shown: -125.298 -105.661 -65.260 -55.077 -45.193 -52.824